Record 1
Density functional theory data (PBE) for a relaxed structure of AcCd2BO5.

Unit cell a=6.441 b=6.441 c=6.960 alpha=117.56 beta=117.56 gamma=90.00
Fractional positions:
Ac: 0.250 0.250 0.500
Ac: 0.750 0.750 0.500
Cd: 0.166 0.334 0.000
Cd: 0.666 0.166 0.000
Cd: 0.334 0.834 0.000
Cd: 0.834 0.666 0.000
B: 0.250 0.750 0.500
B: 0.750 0.250 0.500
O: 0.031 0.531 0.322
O: 0.709 0.209 0.678
O: 0.969 0.469 0.678
O: 0.209 0.969 0.678
O: 0.469 0.709 0.678
O: 0.791 0.031 0.322
O: 0.531 0.291 0.322
O: 0.291 0.791 0.322
O: 0.500 0.500 0.000
O: 0.000 0.000 0.000

Calculated total energy (eV/cell): -111.60
E_form (uncorrected) (eV/atom): -2.044

***

Record 2
Density functional theory data (PBE) for a relaxed structure of Ac2CdBPd6.

Unit cell a=6.586 b=5.954 c=5.954 alpha=120.00 beta=90.00 gamma=90.00
Fractional positions:
Ac: 0.298 0.333 0.667
Ac: 0.702 0.667 0.333
Cd: 0.500 0.000 0.000
B: 0.000 0.000 0.000
Pd: 0.823 0.176 0.352
Pd: 0.823 0.176 0.824
Pd: 0.823 0.648 0.824
Pd: 0.177 0.824 0.176
Pd: 0.177 0.352 0.176
Pd: 0.177 0.824 0.648

Calculated total energy (eV/cell): -53.46
Fermi-level density of states (states/eV/f.u.): 2.99
E_form (kcal/mol of atoms): -15.0

***

Record 3
Density functional theory data (PBE) for a relaxed structure of Ac3CdB2Pt9.

Unit cell a=5.977 b=5.977 c=9.655 alpha=90.00 beta=90.00 gamma=120.00
Fractional positions:
Ac: 0.333 0.667 0.635
Ac: 0.000 0.000 0.000
Ac: 0.667 0.333 0.365
Cd: 0.000 0.000 0.500
B: 0.333 0.667 0.144
B: 0.667 0.333 0.856
Pt: 0.832 0.168 0.723
Pt: 0.832 0.664 0.723
Pt: 0.336 0.168 0.723
Pt: 0.664 0.832 0.277
Pt: 0.168 0.336 0.277
Pt: 0.168 0.832 0.277
Pt: 0.500 0.000 0.000
Pt: 0.000 0.500 0.000
Pt: 0.500 0.500 0.000

Calculated total energy (eV/cell): -92.07
Fermi-level density of states (states/eV/f.u.): 1.42
E_form (kcal/mol of atoms): -17.1

***

Record 4
Density functional theory data (PBE) for a relaxed structure of Ac2Cd2BRh4.

Unit cell a=6.218 b=6.218 c=6.218 alpha=96.54 beta=116.30 gamma=116.30
Fractional positions:
Ac: 0.500 0.750 0.250
Ac: 0.500 0.250 0.750
Cd: 0.000 0.681 0.681
Cd: 0.000 0.319 0.319
B: 0.000 0.000 0.000
Rh: 0.000 0.773 0.227
Rh: 0.545 0.773 0.773
Rh: 0.000 0.227 0.773
Rh: 0.455 0.227 0.227

Calculated total energy (eV/cell): -49.88
Fermi-level density of states (states/eV/f.u.): 4.65
E_form (kcal/mol of atoms): -9.6

***

Record 5
Density functional theory data (PBE) for a relaxed structure of AcCeB12.

Unit cell a=4.161 b=4.161 c=8.325 alpha=90.00 beta=90.00 gamma=90.00
Site moments in Bohr magnetons follow the coordinates.
Fractional positions:
Ac: 0.000 0.000 0.500  0.00
Ce: 0.000 0.000 0.000  0.70
B: 0.200 0.500 0.247  0.00
B: 0.200 0.500 0.753  0.00
B: 0.500 0.500 0.399  0.00
B: 0.500 0.500 0.902  -0.01
B: 0.500 0.200 0.247  0.00
B: 0.500 0.200 0.753  0.00
B: 0.500 0.500 0.098  -0.01
B: 0.500 0.500 0.601  0.00
B: 0.500 0.800 0.247  0.00
B: 0.500 0.800 0.753  0.00
B: 0.800 0.500 0.247  0.00
B: 0.800 0.500 0.753  0.00

Calculated total energy (eV/cell): -97.53
Fermi-level density of states (states/eV/f.u.): 5.60
E_form (kcal/mol of atoms): -12.1

***

Record 6
Density functional theory data (PBE) for a relaxed structure of Ac3CeB2N6.

Unit cell a=5.766 b=5.766 c=6.823 alpha=90.00 beta=90.00 gamma=120.00
Site moments in Bohr magnetons follow the coordinates.
Fractional positions:
Ac: 0.333 0.667 0.674  0.00
Ac: 0.667 0.333 0.326  0.00
Ac: 0.000 0.000 0.000  0.01
Ce: 0.000 0.000 0.500  0.28
B: 0.667 0.333 0.740  0.00
B: 0.333 0.667 0.260  0.00
N: 0.627 0.814 0.285  0.00
N: 0.186 0.373 0.285  0.00
N: 0.186 0.814 0.285  0.00
N: 0.814 0.627 0.715  0.00
N: 0.373 0.186 0.715  0.00
N: 0.814 0.186 0.715  0.00

Calculated total energy (eV/cell): -95.26
Fermi-level density of states (states/eV/f.u.): 3.72
E_form (uncorrected) (eV/atom): -1.141

***

Record 7
Density functional theory data (PBE) for a relaxed structure of Ac3CeB4O12.

Unit cell a=6.870 b=6.870 c=6.870 alpha=100.67 beta=100.67 gamma=100.67
Site moments in Bohr magnetons follow the coordinates.
Fractional positions:
Ac: 0.515 0.485 0.000  0.00
Ac: 0.485 0.000 0.515  0.00
Ac: 0.000 0.515 0.485  0.00
Ce: 0.000 0.000 0.000  0.98
B: 0.983 0.017 0.500  0.00
B: 0.017 0.500 0.983  0.00
B: 0.500 0.983 0.017  0.00
B: 0.500 0.500 0.500  0.00
O: 0.500 0.370 0.630  0.00
O: 0.887 0.500 0.113  0.00
O: 0.113 0.887 0.500  0.00
O: 0.500 0.113 0.887  0.00
O: 0.358 0.977 0.139  0.00
O: 0.139 0.358 0.977  0.00
O: 0.977 0.139 0.358  0.00
O: 0.642 0.861 0.023  0.00
O: 0.023 0.642 0.861  0.00
O: 0.861 0.023 0.642  0.00
O: 0.630 0.500 0.370  0.00
O: 0.370 0.630 0.500  0.00

Calculated total energy (eV/cell): -164.34
Fermi-level density of states (states/eV/f.u.): 8.45
E_form (uncorrected) (eV/atom): -2.994

***

Record 8
Density functional theory data (PBE) for a relaxed structure of Ac4B2Cl5.

Unit cell a=4.265 b=8.327 c=10.528 alpha=113.30 beta=101.69 gamma=90.00
Fractional positions:
Ac: 0.000 0.285 0.000
Ac: 0.678 0.678 0.356
Ac: 0.000 0.715 0.000
Ac: 0.322 0.322 0.644
B: 0.458 0.458 0.915
B: 0.542 0.542 0.085
Cl: 0.827 0.072 0.655
Cl: 0.827 0.583 0.655
Cl: 0.173 0.417 0.345
Cl: 0.173 0.928 0.345
Cl: 0.500 0.000 0.000

Calculated total energy (eV/cell): -55.41
Fermi-level density of states (states/eV/f.u.): 3.93
E_form (uncorrected) (eV/atom): -1.490

***

Record 9
Density functional theory data (PBE) for a relaxed structure of AcB2Cl8.

Unit cell a=6.122 b=8.233 c=8.233 alpha=68.58 beta=81.16 gamma=81.16
Site moments in Bohr magnetons follow the coordinates.
Fractional positions:
Ac: 0.000 0.000 0.000  0.27
B: 0.651 0.804 0.804  0.03
B: 0.349 0.196 0.196  0.03
Cl: 0.275 0.286 0.961  0.00
Cl: 0.725 0.039 0.714  0.00
Cl: 0.336 0.808 0.808  0.01
Cl: 0.664 0.192 0.192  0.01
Cl: 0.275 0.961 0.286  0.00
Cl: 0.725 0.714 0.039  0.00
Cl: 0.792 0.677 0.677  0.01
Cl: 0.208 0.323 0.323  0.01

Calculated total energy (eV/cell): -44.97
Fermi-level density of states (states/eV/f.u.): 0.34
E_form (uncorrected) (eV/atom): -1.157

***

Record 10
Density functional theory data (PBE) for a relaxed structure of AcBN2Cl.

Unit cell a=4.184 b=5.562 c=7.944 alpha=106.41 beta=90.00 gamma=90.00
Site moments in Bohr magnetons follow the coordinates.
Fractional positions:
Ac: 0.750 0.850 0.266  0.03
Ac: 0.250 0.150 0.734  0.03
B: 0.750 0.609 0.632  -0.04
B: 0.250 0.391 0.368  -0.04
N: 0.250 0.619 0.345  0.34
N: 0.250 0.166 0.398  0.31
N: 0.750 0.834 0.602  0.31
N: 0.750 0.381 0.655  0.34
Cl: 0.750 0.261 0.042  0.01
Cl: 0.250 0.739 0.958  0.01

Calculated total energy (eV/cell): -69.80
Fermi-level density of states (states/eV/f.u.): 1.35
E_form (uncorrected) (eV/atom): -1.123

***

Record 11
Density functional theory data (PBE) for a relaxed structure of Ac2B2ClO6.

Unit cell a=6.375 b=5.480 c=6.697 alpha=114.89 beta=96.57 gamma=66.33
Site moments in Bohr magnetons follow the coordinates.
Fractional positions:
Ac: 0.778 0.352 0.768  0.00
Ac: 0.222 0.648 0.232  0.00
B: 0.160 0.717 0.791  -0.01
B: 0.840 0.283 0.209  -0.01
Cl: 0.500 0.000 0.500  0.03
O: 0.369 0.681 0.882  0.15
O: 0.990 0.347 0.124  0.12
O: 0.093 0.826 0.633  0.15
O: 0.010 0.653 0.876  0.12
O: 0.907 0.174 0.367  0.15
O: 0.631 0.319 0.118  0.15

Calculated total energy (eV/cell): -83.10
Fermi-level density of states (states/eV/f.u.): 3.71
E_form (uncorrected) (eV/atom): -2.721

***

Record 12
Density functional theory data (PBE) for a relaxed structure of Ac2CoB10.

Unit cell a=4.290 b=5.772 c=11.486 alpha=90.00 beta=90.00 gamma=90.00
Fractional positions:
Ac: 0.500 0.298 0.866
Ac: 0.500 0.702 0.134
Ac: 0.500 0.798 0.634
Ac: 0.500 0.202 0.366
Co: 0.000 0.500 0.500
Co: 0.000 0.000 0.000
B: 0.000 0.128 0.542
B: 0.000 0.872 0.458
B: 0.000 0.628 0.958
B: 0.000 0.372 0.042
B: 0.000 0.154 0.696
B: 0.000 0.846 0.304
B: 0.295 0.201 0.112
B: 0.295 0.799 0.888
B: 0.705 0.701 0.388
B: 0.705 0.299 0.612
B: 0.705 0.799 0.888
B: 0.705 0.201 0.112
B: 0.295 0.299 0.612
B: 0.295 0.701 0.388
B: 0.000 0.040 0.188
B: 0.000 0.960 0.812
B: 0.000 0.540 0.312
B: 0.000 0.460 0.688
B: 0.000 0.346 0.196
B: 0.000 0.654 0.804

Calculated total energy (eV/cell): -177.27
Fermi-level density of states (states/eV/f.u.): 3.14
E_form (kcal/mol of atoms): -11.6

***

Record 13
Density functional theory data (PBE) for a relaxed structure of AcCoB.

Unit cell a=3.661 b=3.661 c=8.763 alpha=90.06 beta=90.06 gamma=90.01
Fractional positions:
Ac: 0.813 0.866 0.633
Ac: 0.314 0.367 0.206
Co: 0.814 0.366 0.920
Co: 0.314 0.866 0.920
B: 0.814 0.867 0.020
B: 0.313 0.366 0.819

E above lowest polymorph (eV/atom): 0.0000
Calculated total energy (eV/cell): -37.60
Fermi-level density of states (states/eV/f.u.): 2.68
E_form (kcal/mol of atoms): -7.0

***

Record 14
Density functional theory data (PBE) for a relaxed structure of Ac3CoB7.

Unit cell a=3.390 b=10.336 c=9.809 alpha=90.00 beta=90.00 gamma=99.44
Fractional positions:
Ac: 0.107 0.213 0.442
Ac: 0.893 0.787 0.558
Ac: 0.195 0.389 0.750
Ac: 0.805 0.611 0.250
Ac: 0.107 0.213 0.058
Ac: 0.893 0.787 0.942
Co: 0.969 0.939 0.250
Co: 0.031 0.061 0.750
B: 0.465 0.931 0.750
B: 0.535 0.069 0.250
B: 0.490 0.980 0.407
B: 0.510 0.020 0.593
B: 0.510 0.020 0.907
B: 0.490 0.980 0.093
B: 0.414 0.828 0.334
B: 0.586 0.172 0.666
B: 0.256 0.513 0.492
B: 0.744 0.487 0.508
B: 0.744 0.487 0.992
B: 0.256 0.513 0.008
B: 0.414 0.828 0.166
B: 0.586 0.172 0.834

Calculated total energy (eV/cell): -135.85
Fermi-level density of states (states/eV/f.u.): 4.03
E_form (kcal/mol of atoms): -3.7

***

Record 15
Density functional theory data (PBE) for a relaxed structure of AcCoB.

Unit cell a=18.432 b=4.980 c=3.227 alpha=49.42 beta=90.00 gamma=90.00
Site moments in Bohr magnetons follow the coordinates.
Fractional positions:
B: 0.511 0.000 0.749  -0.01
B: 0.011 0.500 0.251  -0.01
B: 0.489 0.000 0.251  -0.01
B: 0.989 0.500 0.749  -0.01
Ac: 0.108 0.000 0.250  -0.08
Ac: 0.392 0.500 0.250  -0.08
Ac: 0.892 0.000 0.750  -0.08
Ac: 0.608 0.500 0.750  -0.08
Co: 0.259 0.004 0.478  1.54
Co: 0.241 0.504 0.478  1.54
Co: 0.741 0.996 0.522  1.54
Co: 0.759 0.496 0.522  1.54

E above lowest polymorph (eV/atom): 0.4376
Calculated total energy (eV/cell): -69.94
Fermi-level density of states (states/eV/f.u.): 2.47
E_form (kcal/mol of atoms): 3.1

***

Record 16
Density functional theory data (PBE) for a relaxed structure of AcCo3B.

Unit cell a=4.107 b=4.107 c=4.107 alpha=90.00 beta=90.00 gamma=90.00
Site moments in Bohr magnetons follow the coordinates.
Fractional positions:
Ac: 0.500 0.500 0.500  -0.07
B: 0.000 0.000 0.000  -0.04
Co: 0.000 0.500 0.000  0.32
Co: 0.000 0.000 0.500  0.32
Co: 0.500 0.000 0.000  0.32

Calculated total energy (eV/cell): -32.27
Fermi-level density of states (states/eV/f.u.): 3.30
E_form (kcal/mol of atoms): -0.8

***

Record 17
Density functional theory data (PBE) for a relaxed structure of Ac2Co5B4.

Unit cell a=5.257 b=5.574 c=6.040 alpha=78.16 beta=64.21 gamma=61.87
Fractional positions:
Ac: 0.853 0.000 0.294
Ac: 0.147 0.000 0.706
Co: 0.500 0.000 0.000
Co: 0.000 0.500 0.000
Co: 0.500 0.500 0.000
Co: 0.250 0.500 0.500
Co: 0.750 0.500 0.500
B: 0.457 0.336 0.750
B: 0.543 0.664 0.250
B: 0.207 0.336 0.250
B: 0.793 0.664 0.750

Calculated total energy (eV/cell): -73.76
Fermi-level density of states (states/eV/f.u.): 5.44
E_form (kcal/mol of atoms): -6.9

***

Record 18
Density functional theory data (PBE) for a relaxed structure of AcCoB4.

Unit cell a=3.552 b=6.261 c=6.261 alpha=99.07 beta=90.00 gamma=90.00
Site moments in Bohr magnetons follow the coordinates.
Fractional positions:
Ac: 0.000 0.321 0.679  -0.01
Ac: 0.000 0.679 0.321  -0.01
Co: 0.000 0.845 0.845  0.35
Co: 0.000 0.155 0.155  0.35
B: 0.500 0.951 0.634  0.00
B: 0.500 0.049 0.366  0.00
B: 0.500 0.634 0.951  0.00
B: 0.500 0.366 0.049  0.00
B: 0.500 0.301 0.301  0.00
B: 0.500 0.699 0.699  0.00
B: 0.500 0.091 0.909  0.00
B: 0.500 0.909 0.091  0.00

Calculated total energy (eV/cell): -78.87
Fermi-level density of states (states/eV/f.u.): 2.26
E_form (kcal/mol of atoms): -5.8

***

Record 19
Density functional theory data (PBE) for a relaxed structure of Ac3Co2B2N3.

Unit cell a=3.863 b=3.863 c=10.659 alpha=100.44 beta=100.44 gamma=90.00
Fractional positions:
Ac: 0.635 0.635 0.270
Ac: 0.365 0.365 0.730
Ac: 0.000 0.000 0.000
Co: 0.750 0.250 0.500
Co: 0.250 0.750 0.500
B: 0.798 0.798 0.597
B: 0.202 0.202 0.403
N: 0.870 0.870 0.740
N: 0.500 0.500 0.000
N: 0.130 0.130 0.260

Calculated total energy (eV/cell): -73.35
Fermi-level density of states (states/eV/f.u.): 1.52
E_form (uncorrected) (eV/atom): -0.848